(1)
Material: LiTbCuPd
Method: DFT, PBE
State: optimized geometry

total DFT energy (no corrections)	-4.327	eV per atom
space-group type	F-43m (216)
density	7.5	g/cm³

Cell: 6.6641 6.6641 6.6641 Å, 90.00 90.00 90.00°
Positions (direct):
Li 0.0000 0.0000 0.0000
Li 0.0000 0.5000 0.5000
Li 0.5000 0.0000 0.5000
Li 0.5000 0.5000 0.0000
Tb 0.0000 0.0000 0.5000
Tb 0.0000 0.5000 0.0000
Tb 0.5000 0.0000 0.0000
Tb 0.5000 0.5000 0.5000
Cu 0.2500 0.2500 0.7500
Cu 0.2500 0.7500 0.2500
Cu 0.7500 0.2500 0.2500
Cu 0.7500 0.7500 0.7500
Pd 0.2500 0.2500 0.2500
Pd 0.2500 0.7500 0.7500
Pd 0.7500 0.2500 0.7500
Pd 0.7500 0.7500 0.2500


(2)
Material: LiCuTc2Pd
Method: DFT, PBE
State: optimized geometry

total DFT energy (no corrections)	-4.827	eV per atom
space-group type	P4/mmm (123)
density	5.5	g/cm³

Cell: 4.8923 4.8923 4.7468 Å, 90.00 90.00 90.00°
Positions (direct):
Li 0.0000 0.0000 0.0000
Cu 0.5000 0.5000 0.0000
Tc 0.0000 0.5000 0.5000
Tc 0.5000 0.0000 0.5000
Pd 0.5000 0.5000 0.5000


(3)
Material: LiThCuPd
Method: DFT, PBE
State: optimized geometry

total DFT energy (no corrections)	-4.940	eV per atom
space-group type	F-43m (216)
density	8.5	g/cm³

Cell: 6.8385 6.8385 6.8385 Å, 90.00 90.00 90.00°
Positions (direct):
Li 0.0000 0.0000 0.0000
Li 0.0000 0.5000 0.5000
Li 0.5000 0.0000 0.5000
Li 0.5000 0.5000 0.0000
Th 0.0000 0.0000 0.5000
Th 0.0000 0.5000 0.0000
Th 0.5000 0.0000 0.0000
Th 0.5000 0.5000 0.5000
Cu 0.2500 0.2500 0.7500
Cu 0.2500 0.7500 0.2500
Cu 0.7500 0.2500 0.2500
Cu 0.7500 0.7500 0.7500
Pd 0.2500 0.2500 0.2500
Pd 0.2500 0.7500 0.7500
Pd 0.7500 0.2500 0.7500
Pd 0.7500 0.7500 0.2500


(4)
Material: LiTlCuPd
Method: DFT, PBE
State: optimized geometry

total DFT energy (no corrections)	-3.576	eV per atom
space-group type	F-43m (216)
density	9.7	g/cm³

Cell: 6.3859 6.3859 6.3859 Å, 90.00 90.00 90.00°
Positions (direct):
Li 0.0000 0.0000 0.0000
Li 0.0000 0.5000 0.5000
Li 0.5000 0.0000 0.5000
Li 0.5000 0.5000 0.0000
Tl 0.2500 0.2500 0.2500
Tl 0.2500 0.7500 0.7500
Tl 0.7500 0.2500 0.7500
Tl 0.7500 0.7500 0.2500
Cu 0.2500 0.2500 0.7500
Cu 0.2500 0.7500 0.2500
Cu 0.7500 0.2500 0.2500
Cu 0.7500 0.7500 0.7500
Pd 0.0000 0.0000 0.5000
Pd 0.0000 0.5000 0.0000
Pd 0.5000 0.0000 0.0000
Pd 0.5000 0.5000 0.5000


(5)
Material: LiTmCuPd
Method: DFT, PBE
State: optimized geometry

total DFT energy (no corrections)	-4.328	eV per atom
space-group type	F-43m (216)
density	8.1	g/cm³

Cell: 6.5684 6.5684 6.5684 Å, 90.00 90.00 90.00°
Positions (direct):
Li 0.0000 0.0000 0.0000
Li 0.0000 0.5000 0.5000
Li 0.5000 0.0000 0.5000
Li 0.5000 0.5000 0.0000
Tm 0.0000 0.0000 0.5000
Tm 0.0000 0.5000 0.0000
Tm 0.5000 0.0000 0.0000
Tm 0.5000 0.5000 0.5000
Cu 0.2500 0.2500 0.7500
Cu 0.2500 0.7500 0.2500
Cu 0.7500 0.2500 0.2500
Cu 0.7500 0.7500 0.7500
Pd 0.2500 0.2500 0.2500
Pd 0.2500 0.7500 0.7500
Pd 0.7500 0.2500 0.7500
Pd 0.7500 0.7500 0.2500


(6)
Material: LiVCuPd
Method: DFT, PBE
State: optimized geometry

total DFT energy (no corrections)	-5.089	eV per atom
space-group type	F-43m (216)
density	7.0	g/cm³

Cell: 5.9980 5.9980 5.9980 Å, 90.00 90.00 90.00°
Positions (direct):
Li 0.0000 0.0000 0.0000
Li 0.0000 0.5000 0.5000
Li 0.5000 0.0000 0.5000
Li 0.5000 0.5000 0.0000
V 0.0000 0.0000 0.5000
V 0.0000 0.5000 0.0000
V 0.5000 0.0000 0.0000
V 0.5000 0.5000 0.5000
Cu 0.2500 0.2500 0.7500
Cu 0.2500 0.7500 0.2500
Cu 0.7500 0.2500 0.2500
Cu 0.7500 0.7500 0.7500
Pd 0.2500 0.2500 0.2500
Pd 0.2500 0.7500 0.7500
Pd 0.7500 0.2500 0.7500
Pd 0.7500 0.7500 0.2500


(7)
Material: Li3Y2Cu12Pd
Method: DFT, PBE
State: optimized geometry

total DFT energy (no corrections)	-4.038	eV per atom
space-group type	R-3m (166)
density	6.5	g/cm³

Cell: 6.5068 6.5068 6.5068 Å, 84.55 84.55 84.55°
Positions (direct):
Li 0.0000 0.5000 0.5000
Li 0.5000 0.0000 0.5000
Li 0.5000 0.5000 0.0000
Y 0.2208 0.2208 0.2208
Y 0.7792 0.7792 0.7792
Cu 0.0736 0.0736 0.6485
Cu 0.0736 0.6485 0.0736
Cu 0.2215 0.7030 0.7030
Cu 0.2970 0.2970 0.7785
Cu 0.2970 0.7785 0.2970
Cu 0.3515 0.9264 0.9264
Cu 0.6485 0.0736 0.0736
Cu 0.7030 0.2215 0.7030
Cu 0.7030 0.7030 0.2215
Cu 0.7785 0.2970 0.2970
Cu 0.9264 0.3515 0.9264
Cu 0.9264 0.9264 0.3515
Pd 0.5000 0.5000 0.5000


(8)
Material: LiZnCuPd
Method: DFT, PBE
State: optimized geometry

total DFT energy (no corrections)	-3.453	eV per atom
space-group type	I-4m2 (119)
density	7.5	g/cm³

Cell: 4.1498 4.1498 6.2325 Å, 90.00 90.00 90.00°
Positions (direct):
Li 0.0000 0.0000 0.0000
Li 0.5000 0.5000 0.5000
Zn 0.0000 0.0000 0.5000
Zn 0.5000 0.5000 0.0000
Cu 0.0000 0.5000 0.7500
Cu 0.5000 0.0000 0.2500
Pd 0.0000 0.5000 0.2500
Pd 0.5000 0.0000 0.7500


| no. | energy relative to the elements (kJ/mol of atoms) | total magnetization (μB per formula unit) | N(E_F) (states/eV per cell) |
| --- | --- | --- | --- |
| 1 | -36 | 0.00 | 10.99 |
| 2 | 151 | 6.10 | 5.56 |
| 3 | -27 | 0.00 | 14.60 |
| 4 | -18 | 0.00 | 4.29 |
| 5 | -39 | 0.00 | 9.20 |
| 6 | -1 | 1.04 | 8.11 |
| 7 | 2 | 0.00 | 4.87 |
| 8 | -32 | 0.00 | 1.28 |